A plane-wave DFT calculation with GGA-PBE was carried out for crystalline Nd3YHo2 at its relaxed geometry.

Cell: 3.5823 9.7230 11.6561 Å, 85.63 90.00 90.00°
Atoms (fractional coordinates):
Nd 0.7500 0.9247 0.1201
Nd 0.2500 0.0753 0.8799
Nd 0.7500 0.7574 0.8606
Nd 0.2500 0.2426 0.1394
Nd 0.2500 0.4004 0.3965
Nd 0.7500 0.5996 0.6035
Y 0.2500 0.7591 0.3553
Y 0.7500 0.2409 0.6447
Ho 0.2500 0.4390 0.8550
Ho 0.7500 0.5610 0.1450
Ho 0.7500 0.0806 0.3801
Ho 0.2500 0.9194 0.6199

spin magnetization: 0.0 μB/cell
calculated formation energy: 74 meV/atom